HgGeO2F: relaxed, GGA-PBE.

Geometry as POSCAR:
```
HgGeO2F
1.0
3.881 0.000 0.000
0.000 3.881 0.000
0.000 0.000 4.124
Hg Ge O F
1 1 2 1
Direct
0.000 0.000 0.000
0.500 0.500 0.500
0.000 0.500 0.500
0.500 0.000 0.500
0.500 0.500 0.000
```

**Space-group type**: No. 123
**Volume**: 12.4 A^3/atom
**E_tot**: -4.30 eV/atom